A plane-wave DFT calculation with PBE was carried out for crystalline BaAc2Hg2Pb2 at its relaxed geometry.

## Properties
The value obtained for the energy relative to the elements is -0.339 eV/atom. As for the crystal system: trigonal. For the density of states at the Fermi level, the calculation gives 5.810 states/eV/f.u.

Geometry as CIF:
```
data_BaAc2Hg2Pb2
_space_group_name_H-M_alt 'R -3 m'
_space_group_IT_number 166
_space_group_name_Hall '-R 3 2"'
_cell_length_a 5.4444
_cell_length_b 5.4444
_cell_length_c 30.1369
_cell_angle_alpha 90.00
_cell_angle_beta 90.00
_cell_angle_gamma 120.00
loop_
_atom_site_label
_atom_site_fract_x
_atom_site_fract_y
_atom_site_fract_z
Ba1 0.0000 0.0000 0.0000
Ac1 0.0000 0.0000 0.1309
Hg1 0.0000 0.0000 0.4325
Pb1 0.0000 0.0000 0.2600
```